VASP calculation (PBE) on a relaxed structure of LiAc2PuRh6.

The space group is P-1 (No. 2) and the conventional cell measures 6.372, 6.393 and 6.487 Å, with angles of 65.59, 65.75 and 66.37 degrees. Symmetry generates all atoms from Li at (0.000, 0.000, 0.000), Ac at (0.204, 0.202, 0.199), Pu at (0.500, 0.500, 0.500), Rh at (0.234, 0.233, 0.636), Rh at (0.238, 0.643, 0.233) and Rh at (0.355, 0.762, 0.766).

The value obtained for the calculated density is 10.42 Mg/m³. Its energy of formation is -3.01 eV per formula unit. As for the raw total energy: -7.16 eV per atom. The spin magnetization is 2.96 μB per cell. The calculation puts the density of states at the Fermi level at 1.2138 states/eV per atom.


VASP calculation (PBE) on a relaxed structure of Li2MgSiMo.

The space group is P4/mmm (No. 123) and the conventional cell measures 4.824, 4.824 and 4.721 Å, with angles of 90.00, 90.00 and 90.00 degrees. Symmetry generates all atoms from Li at (0.000, 0.500, 0.000), Mg at (0.000, 0.000, 0.500), Si at (0.500, 0.500, 0.500) and Mo at (0.500, 0.500, 0.000).

Its uncorrected formation energy is 0.830 eV per atom. The value obtained for the calculated density is 2.45 Mg/m³. As for the raw total energy: -3.51 eV per atom. The spin magnetization is 2.10 μB per cell. The calculation puts the density of states at the Fermi level at 0.6969 states/eV per atom.


VASP calculation (PBE) on a relaxed structure of Cu2TcGe2.

The space group is P4/mbm (No. 127) and the conventional cell measures 6.656, 6.656 and 3.285 Å, with angles of 90.00, 90.00 and 90.00 degrees. Symmetry generates all atoms from Cu at (0.142, 0.358, 0.000), Tc at (0.000, 0.000, 0.500) and Ge at (0.156, 0.656, 0.500).

The value obtained for the calculated density is 8.45 Mg/m³. Its energy of formation is 0.81 eV per formula unit. For the energy above the most stable polymorph in this dataset, the calculation gives 0.0 kJ per mole of atoms. As for the raw total energy: -5.40 eV per atom. The spin magnetization is 0.00 μB per cell. The calculation puts the density of states at the Fermi level at 0.6860 states/eV per atom.


VASP calculation (PBE) on a relaxed structure of BaNa2Cd2.

The space group is I4/mmm (No. 139) and the conventional cell measures 4.838, 4.838 and 14.861 Å, with angles of 90.00, 90.00 and 90.00 degrees. Symmetry generates all atoms from Ba at (0.000, 0.000, 0.000), Na at (0.000, 0.500, 0.250) and Cd at (0.000, 0.000, 0.399).

The value obtained for the calculated density is 3.90 Mg/m³. Its energy of formation is -0.75 eV per formula unit. For the energy above the most stable polymorph in this dataset, the calculation gives 2.5 kJ per mole of atoms. As for the raw total energy: -1.43 eV per atom. The spin magnetization is 0.00 μB per cell. The calculation puts the density of states at the Fermi level at 1.1793 states/eV per atom.


VASP calculation (PBE) on a relaxed structure of Pr2AlCu2Pd5.

The space group is P4/mbm (No. 127) and the conventional cell measures 9.695, 9.695 and 3.815 Å, with angles of 90.00, 90.00 and 90.00 degrees. Symmetry generates all atoms from Pr at (0.175, 0.325, 0.000), Al at (0.000, 0.000, 0.000), Cu at (0.123, 0.623, 0.000), Pd at (0.000, 0.500, 0.500) and Pd at (0.062, 0.799, 0.500).

The value obtained for the calculated density is 8.96 Mg/m³. Its energy of formation is -6.22 eV per formula unit. As for the raw total energy: -5.37 eV per atom. The spin magnetization is 0.00 μB per cell. The calculation puts the density of states at the Fermi level at 0.4272 states/eV per atom.


VASP calculation (PBE) on a relaxed structure of ThAl2Os.

The space group is Fm-3m (No. 225) and the conventional cell measures 6.688, 6.688 and 6.688 Å, with angles of 90.00, 90.00 and 90.00 degrees. Symmetry generates all atoms from Th at (0.000, 0.000, 0.000), Al at (0.250, 0.250, 0.250) and Os at (0.000, 0.000, 0.500).

The value obtained for the calculated density is 10.57 Mg/m³. Its energy of formation is -0.53 eV per formula unit. As for the raw total energy: -6.67 eV per atom. The spin magnetization is 0.00 μB per cell. The calculation puts the density of states at the Fermi level at 0.2140 states/eV per atom.


VASP calculation (PBE) on a relaxed structure of Ce6Al2Pb.

The space group is Immm (No. 71) and the conventional cell measures 3.160, 9.036 and 15.886 Å, with angles of 90.00, 90.00 and 90.00 degrees. Symmetry generates all atoms from Ce at (0.000, 0.162, 0.000), Ce at (0.000, 0.309, 0.164), Al at (0.000, 0.500, 0.343) and Pb at (0.000, 0.000, 0.500).

The value obtained for the calculated density is 8.07 Mg/m³. Its energy of formation is -1.06 eV per formula unit. For the energy above the most stable polymorph in this dataset, the calculation gives 7.5 kJ per mole of atoms. As for the raw total energy: -5.32 eV per atom. The spin magnetization is 8.77 μB per cell. The calculation puts the density of states at the Fermi level at 2.7365 states/eV per atom.


VASP calculation (PBE) on a relaxed structure of FeSiTe2.

The space group is I4/mmm (No. 139) and the conventional cell measures 5.582, 5.582 and 5.850 Å, with angles of 90.00, 90.00 and 90.00 degrees. Symmetry generates all atoms from Fe at (0.000, 0.000, 0.000), Si at (0.000, 0.000, 0.500) and Te at (0.000, 0.500, 0.000).

Its uncorrected formation energy is 0.502 eV per atom. The value obtained for the calculated density is 6.18 Mg/m³. As for the raw total energy: -4.54 eV per atom. The spin magnetization is 5.43 μB per cell. The calculation puts the density of states at the Fermi level at 1.6488 states/eV per atom.